Mg8In3Sn PBE relaxed; crystal system = monoclinic; space group = Cm, No. 8; DFT formation energy = -11 meV per atom
1.0
8.184 0.000 -0.689
-5.136 4.797 4.471
-2.088 0.000 8.252
Mg In Sn
8 3 1
Cartesian
1.937 2.647 4.781
5.555 0.000 4.246
4.272 2.209 2.434
-0.864 2.589 6.904
-3.199 2.151 9.252
0.370 0.000 5.548
2.850 0.000 0.594
3.336 0.000 6.552
2.090 2.504 7.698
2.600 0.000 3.540
-0.958 2.293 3.916
-1.953 0.000 7.798